DFT (GGA-PBEsol) results for a relaxed structure of CoReO2F.

Unit cell a=3.760 b=3.760 c=4.458 alpha=90.00 beta=90.00 gamma=90.00
Each line ends with the local moment (μB).
Sites, in units of the cell vectors:
1 O 0.500 0.000 0.000  0.00
2 O 0.000 0.500 0.000  0.00
3 Re 0.000 0.000 0.000  -0.09
4 Co 0.500 0.500 0.500  2.06
5 F 0.000 0.000 0.500  0.01

magnetization	2.032	μB/f.u.
E_form (uncorrected)	-40.8	kJ per mole of atoms
final energy	-0.523	Ry/atom
symmetry	P4/mmm

=====

DFT (GGA-PBEsol) results for a relaxed structure of CoSb2S2O4F12.

Unit cell a=5.048 b=7.639 c=8.563 alpha=92.05 beta=90.97 gamma=99.78
Each line ends with the local moment (μB).
Sites, in units of the cell vectors:
1 S 0.505 0.202 0.221  0.00
2 S 0.495 0.798 0.779  0.00
3 O 0.738 0.764 0.851  0.00
4 O 0.262 0.236 0.149  0.00
5 O 0.589 0.305 0.369  0.05
6 O 0.411 0.695 0.631  0.05
7 F 0.142 0.344 0.556  0.03
8 F 0.249 0.811 0.077  0.00
9 F 0.151 0.461 0.854  0.00
10 F 0.313 0.593 0.315  0.04
11 F 0.687 0.407 0.685  0.04
12 F 0.849 0.539 0.146  0.00
13 F 0.783 0.882 0.216  0.00
14 F 0.751 0.189 0.923  0.00
15 F 0.217 0.118 0.784  0.00
16 F 0.749 0.072 0.621  0.00
17 F 0.251 0.928 0.379  0.00
18 F 0.858 0.656 0.444  0.03
19 Sb 0.954 0.260 0.746  0.01
20 Sb 0.046 0.740 0.254  0.01
21 Co 0.500 0.500 0.500  2.67

magnetization	3.000	μB/f.u.
E_form (uncorrected)	-179.6	kJ per mole of atoms
final energy	-0.381	Ry/atom
symmetry	P-1

=====

DFT (GGA-PBEsol) results for a relaxed structure of CoSiOF2.

Unit cell a=3.621 b=3.985 c=3.985 alpha=90.00 beta=90.00 gamma=90.00
Each line ends with the local moment (μB).
Sites, in units of the cell vectors:
1 Co 0.000 0.000 0.000  2.11
2 Si 0.500 0.500 0.500  -0.04
3 F 0.000 0.000 0.500  0.06
4 F 0.000 0.500 0.000  0.06
5 O 0.500 0.000 0.000  0.17

magnetization	2.346	μB/f.u.
E_form (uncorrected)	-83.1	kJ per mole of atoms
final energy	-0.395	Ry/atom
symmetry	P4/mmm

=====

> Which of these has the highest E_form (uncorrected)?

CoReO2F